The following is a GGA+U calculation of Rb5Fe2O5 after structural relaxation, from Alexandria.

```
Rb5Fe2O5
1.0
-1.236 2.394 2.427
-1.125 -6.521 3.149
8.198 -1.056 5.216
O Fe Rb
5 2 5
Direct
0.098 0.197 0.264
0.404 0.809 0.261
0.902 0.803 0.736
0.596 0.191 0.739
0.000 0.000 0.000
0.976 0.951 0.212
0.024 0.049 0.788
0.500 0.000 0.500
0.364 0.727 0.982
0.268 0.536 0.671
0.636 0.273 0.018
0.732 0.464 0.329
```

Output
The total energy is -4.582 eV/atom. The calculated density comes out at 4.2 g cm⁻³. Its magnetic moment is 9.0 μB per formula unit.